VASP calculation (GGA-PBE) on a relaxed structure of CsLiMn2Br8.

Unit cell a=6.9399 b=6.9399 c=9.8558 alpha=90.00 beta=90.00 gamma=120.00
Closest atoms and distances in Å follow each position.
Atoms (fractional coordinates):
Cs 0.0000 0.0000 0.0000  12 Br 3.96-4.01
Li 0.0000 0.0000 0.5000  6 Br 2.78
Mn 0.3333 0.6667 0.7362  4 Br 2.37-2.39
Mn 0.6667 0.3333 0.2638  4 Br 2.37-2.39
Br 0.0129 0.3270 0.6683  1 Mn 2.39
Br 0.3141 0.9871 0.6683  1 Mn 2.39
Br 0.3270 0.3141 0.3317  1 Mn 2.39
Br 0.3333 0.6667 0.9771  1 Mn 2.37
Br 0.6667 0.3333 0.0229  1 Mn 2.37
Br 0.6730 0.6859 0.6683  1 Mn 2.39
Br 0.6859 0.0129 0.3317  1 Mn 2.39
Br 0.9871 0.6730 0.3317  1 Mn 2.39

- Calculated total energy: -3.8121 eV per atom



VASP calculation (GGA-PBE) on a relaxed structure of Y2Cd3Co2.

Unit cell a=3.8083 b=20.3145 c=3.8413 alpha=90.00 beta=90.00 gamma=90.00
Closest atoms and distances in Å follow each position.
Atoms (fractional coordinates):
Y 0.0000 0.1727 0.0000  6 Co 2.87-2.91
Y 0.0000 0.8273 0.0000  6 Co 2.87-2.91
Y 0.5000 0.3273 0.0000  6 Co 2.87-2.91
Y 0.5000 0.6727 0.0000  6 Co 2.87-2.91
Cd 0.0000 0.0000 0.0000  8 Cd 3.15, 2 Y 3.51
Cd 0.0000 0.4206 0.5000  1 Co 2.85, 4 Cd 3.15
Cd 0.0000 0.5794 0.5000  1 Co 2.85, 4 Cd 3.15
Cd 0.5000 0.0794 0.5000  1 Co 2.85, 4 Cd 3.15
Cd 0.5000 0.5000 0.0000  8 Cd 3.15, 2 Y 3.51
Cd 0.5000 0.9206 0.5000  1 Co 2.85, 4 Cd 3.15
Co 0.0000 0.2802 0.5000  2 Co 2.26
Co 0.0000 0.7198 0.5000  2 Co 2.26
Co 0.5000 0.2198 0.5000  2 Co 2.26
Co 0.5000 0.7802 0.5000  2 Co 2.26

- Energy of formation from the pure elements: -22 kJ per mole of atoms
- Calculated total energy: -4.4935 eV per atom



VASP calculation (GGA-PBE) on a relaxed structure of Sc2AlVC.

Unit cell a=4.5127 b=4.5127 c=4.0331 alpha=90.00 beta=90.00 gamma=90.00
Closest atoms and distances in Å follow each position.
Atoms (fractional coordinates):
Sc 0.0000 0.5000 0.0000  2 C 2.26
Sc 0.5000 0.0000 0.0000  2 C 2.26
Al 0.0000 0.0000 0.5000  8 Sc 3.03, 4 V 3.19
V 0.5000 0.5000 0.5000  2 C 2.02
C 0.5000 0.5000 0.0000  2 V 2.02, 4 Sc 2.26

- Energy of formation from the pure elements: -44 kJ per mole of atoms
- Calculated total energy: -7.4017 eV per atom



VASP calculation (GGA-PBE) on a relaxed structure of La4NdGe4.

Unit cell a=9.2928 b=9.2928 c=6.2621 alpha=90.00 beta=90.00 gamma=90.00
Closest atoms and distances in Å follow each position.
Atoms (fractional coordinates):
La 0.0459 0.6700 0.1165  5 Ge 3.00-3.36
La 0.1700 0.9541 0.6165  5 Ge 3.00-3.36
La 0.3300 0.5459 0.6165  5 Ge 3.00-3.36
La 0.4541 0.8300 0.1165  5 Ge 3.00-3.36
La 0.5459 0.1700 0.8835  5 Ge 3.00-3.36
La 0.6700 0.4541 0.3835  5 Ge 3.00-3.36
La 0.8300 0.0459 0.3835  5 Ge 3.00-3.36
La 0.9541 0.3300 0.8835  5 Ge 3.00-3.36
Nd 0.2500 0.2500 0.2500  4 Ge 2.88
Nd 0.7500 0.7500 0.7500  4 Ge 2.88
Ge 0.0171 0.6268 0.6048  1 Ge 2.72, 1 Nd 2.88, 1 La 3.00
Ge 0.1268 0.9829 0.1048  1 Ge 2.72, 1 Nd 2.88, 1 La 3.00
Ge 0.3732 0.5171 0.1048  1 Ge 2.72, 1 Nd 2.88, 1 La 3.00
Ge 0.4829 0.8732 0.6048  1 Ge 2.72, 1 Nd 2.88, 1 La 3.00
Ge 0.5171 0.1268 0.3952  1 Ge 2.72, 1 Nd 2.88, 1 La 3.00
Ge 0.6268 0.4829 0.8952  1 Ge 2.72, 1 Nd 2.88, 1 La 3.00
Ge 0.8732 0.0171 0.8952  1 Ge 2.72, 1 Nd 2.88, 1 La 3.00
Ge 0.9829 0.3732 0.3952  1 Ge 2.72, 1 Nd 2.88, 1 La 3.00

- Energy of formation from the pure elements: -59 kJ per mole of atoms
- Calculated total energy: -5.3805 eV per atom



VASP calculation (GGA-PBE) on a relaxed structure of SrTl2Tc.

Unit cell a=8.2650 b=4.5335 c=6.4220 alpha=90.00 beta=112.76 gamma=90.00
Closest atoms and distances in Å follow each position.
Atoms (fractional coordinates):
Sr 0.0000 0.0000 0.0000  6 Tl 3.34-3.37
Sr 0.5000 0.5000 0.0000  6 Tl 3.34-3.37
Tl 0.2193 0.0000 0.6594  3 Tc 2.83-2.88
Tl 0.2807 0.5000 0.3406  3 Tc 2.83-2.88
Tl 0.7193 0.5000 0.6594  3 Tc 2.83-2.88
Tl 0.7807 0.0000 0.3406  3 Tc 2.83-2.88
Tc 0.0000 0.5000 0.5000  6 Tl 2.83-2.88
Tc 0.5000 0.0000 0.5000  6 Tl 2.83-2.88

- Energy of formation from the pure elements: 34 kJ per mole of atoms
- Calculated total energy: -3.8401 eV per atom
- ΔE to the lowest computed polymorph: 0.0343 eV/atom



VASP calculation (GGA-PBE) on a relaxed structure of Zn2In2Ag7.

Unit cell a=6.8066 b=6.8066 c=5.0772 alpha=109.29 beta=109.29 gamma=89.04
Closest atoms and distances in Å follow each position.
Atoms (fractional coordinates):
Zn 0.2281 0.2281 0.4547  8 Ag 2.74-2.88
Zn 0.7719 0.7719 0.5453  8 Ag 2.74-2.88
In 0.3047 0.6953 0.5000  8 Ag 2.88-3.15, 2 Zn 3.15
In 0.6953 0.3047 0.5000  8 Ag 2.88-3.15, 2 Zn 3.15
Ag 0.0818 0.5739 0.8260  2 Zn 2.74-2.88, 5 Ag 2.78-2.97, 2 In 2.88-2.89
Ag 0.0932 0.0932 0.8271  3 Zn 2.75-2.83, 4 Ag 2.88-3.05
Ag 0.4261 0.9182 0.1740  2 Zn 2.74-2.88, 5 Ag 2.78-2.97, 2 In 2.88-2.89
Ag 0.5000 0.5000 0.0000  4 Ag 2.78, 2 Zn 2.80
Ag 0.5739 0.0818 0.8260  2 Zn 2.74-2.88, 5 Ag 2.78-2.97, 2 In 2.88-2.89
Ag 0.9068 0.9068 0.1729  3 Zn 2.75-2.83, 4 Ag 2.88-3.05
Ag 0.9182 0.4261 0.1740  2 Zn 2.74-2.88, 5 Ag 2.78-2.97, 2 In 2.88-2.89

- Energy of formation from the pure elements: 3 kJ per mole of atoms
- Calculated total energy: -2.5092 eV per atom
- ΔE to the lowest computed polymorph: 0.0263 eV/atom



VASP calculation (GGA-PBE) on a relaxed structure of HgCl2O2.

Unit cell a=6.8331 b=4.5300 c=9.7790 alpha=90.00 beta=102.73 gamma=90.00
Closest atoms and distances in Å follow each position.
Atoms (fractional coordinates):
Hg 0.0000 0.0000 0.0000  2 Cl 2.36
Hg 0.5000 0.5000 0.0000  2 Cl 2.36
Cl 0.1872 0.5000 0.8394  1 Hg 2.36
Cl 0.3128 0.0000 0.1606  1 Hg 2.36
Cl 0.6872 0.0000 0.8394  1 Hg 2.36
Cl 0.8128 0.5000 0.1606  1 Hg 2.36
O 0.0563 0.0000 0.4586  1 O 1.23
O 0.4437 0.5000 0.5414  1 O 1.23
O 0.5563 0.5000 0.4586  1 O 1.23
O 0.9437 0.0000 0.5414  1 O 1.23

- Calculated total energy: -3.1381 eV per atom



VASP calculation (GGA-PBE) on a relaxed structure of Pm4SnSb2.

Unit cell a=15.5217 b=4.5621 c=7.6787 alpha=90.00 beta=118.65 gamma=90.00
Closest atoms and distances in Å follow each position.
Atoms (fractional coordinates):
Pm 0.1199 0.0000 0.3077  3 Sb 3.12-3.18, 2 Sn 3.17
Pm 0.1224 0.5000 0.7688  3 Sb 3.11-3.14, 1 Sn 3.16
Pm 0.3776 0.0000 0.2312  3 Sb 3.11-3.14, 1 Sn 3.16
Pm 0.3801 0.5000 0.6923  3 Sb 3.12-3.18, 2 Sn 3.17
Pm 0.6199 0.5000 0.3077  3 Sb 3.12-3.18, 2 Sn 3.17
Pm 0.6224 0.0000 0.7688  3 Sb 3.11-3.14, 1 Sn 3.16
Pm 0.8776 0.5000 0.2312  3 Sb 3.11-3.14, 1 Sn 3.16
Pm 0.8801 0.0000 0.6923  3 Sb 3.12-3.18, 2 Sn 3.17
Sn 0.0000 0.5000 0.0000  6 Pm 3.16-3.17, 2 Sb 3.29
Sn 0.5000 0.0000 0.0000  6 Pm 3.16-3.17, 2 Sb 3.29
Sb 0.2418 0.5000 0.2348  6 Pm 3.11-3.18, 1 Sn 3.29
Sb 0.2582 0.0000 0.7652  6 Pm 3.11-3.18, 1 Sn 3.29
Sb 0.7418 0.0000 0.2348  6 Pm 3.11-3.18, 1 Sn 3.29
Sb 0.7582 0.5000 0.7652  6 Pm 3.11-3.18, 1 Sn 3.29

- Calculated total energy: -5.1937 eV per atom
- ΔE to the lowest computed polymorph: 0.2289 eV/atom



VASP calculation (GGA-PBE) on a relaxed structure of Zr6Ni2Os.

Unit cell a=7.6780 b=7.6780 c=7.6780 alpha=110.73 beta=110.42 gamma=107.28
Closest atoms and distances in Å follow each position.
Atoms (fractional coordinates):
Zr 0.0341 0.8270 0.2071  3 Ni 2.55-2.72
Zr 0.2481 0.5581 0.3100  2 Ni 2.67-2.92, 2 Os 2.80-2.83
Zr 0.2481 0.9380 0.6900  2 Ni 2.67-2.92, 2 Os 2.80-2.83
Zr 0.2784 0.3177 0.5960  3 Ni 2.78-2.86, 1 Os 2.91
Zr 0.2784 0.6823 0.9606  3 Ni 2.78-2.86, 1 Os 2.91
Zr 0.3800 0.1730 0.2071  3 Ni 2.55-2.72
Zr 0.6200 0.8270 0.7929  3 Ni 2.55-2.72
Zr 0.7216 0.3177 0.0394  3 Ni 2.78-2.86, 1 Os 2.91
Zr 0.7216 0.6823 0.4039  3 Ni 2.78-2.86, 1 Os 2.91
Zr 0.7519 0.0620 0.3100  2 Ni 2.67-2.92, 2 Os 2.80-2.83
Zr 0.7519 0.4419 0.6900  2 Ni 2.67-2.92, 2 Os 2.80-2.83
Zr 0.9659 0.1730 0.7929  3 Ni 2.55-2.72
Ni 0.0000 0.1462 0.1462  1 Ni 2.55, 6 Zr 2.67-2.72
Ni 0.0000 0.8538 0.8538  1 Ni 2.55, 6 Zr 2.67-2.72
Ni 0.3694 0.3694 0.0000  1 Ni 2.38, 2 Zr 2.55
Ni 0.6306 0.6306 0.0000  1 Ni 2.38, 2 Zr 2.55
Os 0.0000 0.5000 0.5000  8 Zr 2.80-2.91, 2 Ni 3.09
Os 0.5000 0.0000 0.5000  8 Zr 2.83-3.01

- Energy of formation from the pure elements: -29 kJ per mole of atoms
- Calculated total energy: -8.5363 eV per atom



VASP calculation (GGA-PBE) on a relaxed structure of Sr2SbS.

Unit cell a=4.3023 b=4.3023 c=24.2128 alpha=90.00 beta=90.00 gamma=120.00
Closest atoms and distances in Å follow each position.
Atoms (fractional coordinates):
Sr 0.0000 0.0000 0.2385  3 S 3.03, 3 Sb 3.38
Sr 0.0000 0.0000 0.7615  3 S 3.03, 3 Sb 3.38
Sr 0.3333 0.6667 0.4282  3 S 3.03, 3 Sb 3.38
Sr 0.3333 0.6667 0.9052  3 S 3.03, 3 Sb 3.38
Sr 0.6667 0.3333 0.0948  3 S 3.03, 3 Sb 3.38
Sr 0.6667 0.3333 0.5718  3 S 3.03, 3 Sb 3.38
Sb 0.0000 0.0000 0.0000  6 Sr 3.38
Sb 0.3333 0.6667 0.6667  6 Sr 3.38
Sb 0.6667 0.3333 0.3333  6 Sr 3.38
S 0.0000 0.0000 0.5000  6 Sr 3.03
S 0.3333 0.6667 0.1667  6 Sr 3.03
S 0.6667 0.3333 0.8333  6 Sr 3.03

- Calculated total energy: -4.3384 eV per atom
- ΔE to the lowest computed polymorph: 0.0000 eV/atom



VASP calculation (GGA-PBE) on a relaxed structure of Na2InPb2.

Unit cell a=8.9104 b=8.9104 c=3.6812 alpha=90.00 beta=90.00 gamma=90.00
Closest atoms and distances in Å follow each position.
Atoms (fractional coordinates):
Na 0.1745 0.3255 0.0000  6 Pb 3.12-3.27
Na 0.3255 0.8255 0.0000  6 Pb 3.12-3.27
Na 0.6745 0.1745 0.0000  6 Pb 3.12-3.27
Na 0.8255 0.6745 0.0000  6 Pb 3.12-3.27
In 0.0000 0.0000 0.5000  4 Pb 3.52, 2 In 3.68, 8 Na 3.77
In 0.5000 0.5000 0.5000  4 Pb 3.52, 2 In 3.68, 8 Na 3.77
Pb 0.1255 0.6255 0.5000  6 Na 3.12-3.27, 1 Pb 3.16
Pb 0.3745 0.1255 0.5000  6 Na 3.12-3.27, 1 Pb 3.16
Pb 0.6255 0.8745 0.5000  6 Na 3.12-3.27, 1 Pb 3.16
Pb 0.8745 0.3745 0.5000  6 Na 3.12-3.27, 1 Pb 3.16

- Energy of formation from the pure elements: -5 kJ per mole of atoms
- Calculated total energy: -2.6080 eV per atom
- ΔE to the lowest computed polymorph: 0.0588 eV/atom



VASP calculation (GGA-PBE) on a relaxed structure of Mg2PtAu2.

Unit cell a=7.5604 b=7.5604 c=3.1035 alpha=90.00 beta=90.00 gamma=90.00
Closest atoms and distances in Å follow each position.
Atoms (fractional coordinates):
Mg 0.1598 0.3402 0.0000  6 Au 2.66-2.74, 2 Pt 2.84
Mg 0.3402 0.8402 0.0000  6 Au 2.66-2.74, 2 Pt 2.84
Mg 0.6598 0.1598 0.0000  6 Au 2.66-2.74, 2 Pt 2.84
Mg 0.8402 0.6598 0.0000  6 Au 2.66-2.74, 2 Pt 2.84
Pt 0.0000 0.0000 0.0000  4 Mg 2.84, 2 Pt 3.10
Pt 0.5000 0.5000 0.0000  4 Mg 2.84, 2 Pt 3.10
Au 0.1385 0.6385 0.5000  6 Mg 2.66-2.74, 1 Au 2.96
Au 0.3615 0.1385 0.5000  6 Mg 2.66-2.74, 1 Au 2.96
Au 0.6385 0.8615 0.5000  6 Mg 2.66-2.74, 1 Au 2.96
Au 0.8615 0.3615 0.5000  6 Mg 2.66-2.74, 1 Au 2.96

- Energy of formation from the pure elements: -34 kJ per mole of atoms
- Calculated total energy: -3.5091 eV per atom
- ΔE to the lowest computed polymorph: 0.1030 eV/atom